TlAgBi2 (PBE, relaxed); ρ = 9.9 g/cm³; energy of formation from the pure elements = 0.11 eV per atom
1.0
-1.8238 -4.3710 1.5290
1.2433 -1.7866 4.4758
-4.6710 0.6246 4.3140
Tl Ag Bi
1 1 2
Direct
0.4939 0.4939 0.5183 Tl
0.6722 0.6722 0.9834 Ag
0.0662 0.0662 0.8013 Bi
0.2677 0.2677 0.1969 Bi